This record from Alexandria describes crystalline AlGaSe2 at its relaxed geometry. The functional is GGA-PBE.

a = 7.007 Å, b = 7.007 Å, c = 6.619 Å
α = 58.04°, β = 58.04°, γ = 90.00°
Element x y z (fractional)
Al: 0.500 0.500 0.000
Al: 0.250 0.750 0.500
Se: 0.875 0.804 0.750
Se: 0.375 0.446 0.750
Se: 0.554 0.125 0.250
Se: 0.196 0.625 0.250
Ga: 0.750 0.250 0.500
Ga: 0.000 0.000 0.000

Calculated values
- SG = No. 122
- energy (eV/cell) = -32.0
- crystal system = tetragonal
- ΔE_f (raw) (eV per atom) = -0.5649



This record from Alexandria describes crystalline Al2Ga2Se at its relaxed geometry. The functional is GGA-PBE.

a = 7.141 Å, b = 7.141 Å, c = 3.844 Å
α = 90.00°, β = 90.00°, γ = 90.00°
Element x y z (fractional)
Al: 0.638 0.138 0.000
Al: 0.862 0.638 0.000
Al: 0.362 0.862 0.000
Al: 0.138 0.362 0.000
Ga: 0.338 0.162 0.500
Ga: 0.838 0.338 0.500
Ga: 0.662 0.838 0.500
Ga: 0.162 0.662 0.500
Se: 0.500 0.500 0.000
Se: 0.000 0.000 0.000

Calculated values
- SG = No. 127
- energy (eV/cell) = -33.8
- crystal system = tetragonal
- ΔE_f (raw) (eV per atom) = 0.0255



This record from Alexandria describes crystalline AlGaSe2 at its relaxed geometry. The functional is GGA-PBE.

a = 8.214 Å, b = 8.214 Å, c = 8.214 Å
α = 26.12°, β = 26.12°, γ = 26.12°
Element x y z (fractional)
Se: 0.895 0.895 0.895
Se: 0.105 0.105 0.105
Ga: 0.500 0.500 0.500
Al: 0.000 0.000 0.000

Calculated values
- SG = No. 166
- energy (eV/cell) = -14.2
- crystal system = trigonal
- ΔE_f (raw) (eV per atom) = -0.1034



Q: ΔE_f (raw) of number 2 (Al2Ga2Se)?
A: 0.0255 eV per atom